# 1
Density functional theory data (PBE) for a geometry-optimized TbTeSe structure.

Properties
Raw total energy in eV per cell: -14.82
E_form (uncorrected) in eV per formula unit: -3.57
Energy above the lowest structure with this stoichiometry in meV/atom: 233
Space-group type: Amm2, No. 38

a = 3.7645 Å, b = 7.2571 Å, c = 7.2571 Å
α = 29.21°, β = 90.00°, γ = 90.00°
Sites, in units of the cell vectors:
Tb1 0.0000 0.0000 0.0000
Te1 0.0000 0.6835 0.6835
Se1 0.5000 0.4217 0.4217

***

# 2
Density functional theory data (PBE) for a geometry-optimized LaHo7Mg4 structure.

Properties
Raw total energy in eV per cell: -40.66
E_form in eV per atom: 0.22
Space-group type: C2/m, No. 12

a = 7.3147 Å, b = 7.3147 Å, c = 11.3992 Å
α = 120.55°, β = 120.55°, γ = 46.14°
Sites, in units of the cell vectors:
La1 0.0000 0.0000 0.0000
Ho1 0.0562 0.0562 0.3851
Ho2 0.2205 0.2205 0.8808
Ho3 0.3310 0.3310 0.3939
Ho4 0.5000 0.5000 0.0000
Ho5 0.6690 0.6690 0.6061
Ho6 0.7795 0.7795 0.1192
Ho7 0.9438 0.9438 0.6149
Mg1 0.3125 0.3125 0.6674
Mg2 0.4332 0.4332 0.2153
Mg3 0.5668 0.5668 0.7847
Mg4 0.6875 0.6875 0.3326

***

# 3
Density functional theory data (PBE) for a geometry-optimized La2SnH structure.

Properties
Raw total energy in eV per cell: -18.73
Energy above the lowest structure with this stoichiometry in meV/atom: 242
Space-group type: Fm-3m, No. 225

a = 5.3284 Å, b = 5.3284 Å, c = 5.3284 Å
α = 60.00°, β = 60.00°, γ = 60.00°
Sites, in units of the cell vectors:
La1 0.2500 0.2500 0.2500
La2 0.7500 0.7500 0.7500
Sn1 0.0000 0.0000 0.0000
H1 0.5000 0.5000 0.5000

***

# 4
Density functional theory data (PBE) for a geometry-optimized ScGeAu2 structure.

Properties
Raw total energy in eV per cell: -19.42
E_form in eV per atom: -0.48
Space-group type: P4/mmm, No. 123

a = 4.1679 Å, b = 4.1679 Å, c = 4.2693 Å
α = 90.00°, β = 90.00°, γ = 90.00°
Sites, in units of the cell vectors:
Sc1 0.0000 0.0000 0.0000
Ge1 0.5000 0.5000 0.0000
Au1 0.0000 0.5000 0.5000
Au2 0.5000 0.0000 0.5000

***

# 5
Density functional theory data (PBE) for a geometry-optimized Dy4Y2Se9 structure.

Properties
Raw total energy in eV per cell: -181.45
E_form (uncorrected) in eV per formula unit: -28.03
Space-group type: P-1, No. 2

a = 7.2016 Å, b = 7.2040 Å, c = 19.4827 Å
α = 89.99°, β = 89.97°, γ = 60.04°
Sites, in units of the cell vectors:
Dy1 0.1656 0.1669 0.1811
Dy2 0.1661 0.1667 0.9855
Dy3 0.1671 0.1665 0.4851
Dy4 0.1677 0.1663 0.6814
Dy5 0.8323 0.8337 0.3186
Dy6 0.8329 0.8335 0.5149
Dy7 0.8339 0.8333 0.0145
Dy8 0.8344 0.8330 0.8189
Y1 0.4989 0.5016 0.1522
Y2 0.4998 0.4988 0.3481
Y3 0.5002 0.5012 0.6519
Y4 0.5011 0.4984 0.8478
Se1 0.1368 0.5292 0.4167
Se2 0.1390 0.8333 0.9166
Se3 0.1655 0.4724 0.0834
Se4 0.1662 0.8630 0.5833
Se5 0.1951 0.5003 0.7499
Se6 0.1945 0.8058 0.2503
Se7 0.4710 0.1677 0.5831
Se8 0.4713 0.8627 0.0831
Se9 0.4989 0.1949 0.2499
Se10 0.5011 0.8051 0.7501
Se11 0.5287 0.1373 0.9169
Se12 0.5290 0.8323 0.4169
Se13 0.8055 0.1942 0.7497
Se14 0.8049 0.4997 0.2501
Se15 0.8338 0.1370 0.4167
Se16 0.8345 0.5276 0.9166
Se17 0.8610 0.1667 0.0834
Se18 0.8632 0.4708 0.5833

***

Please write out number 1 again, unchanged.
Density functional theory data (PBE) for a geometry-optimized TbTeSe structure.

Properties
Raw total energy in eV per cell: -14.82
E_form (uncorrected) in eV per formula unit: -3.57
Energy above the lowest structure with this stoichiometry in meV/atom: 233
Space-group type: Amm2, No. 38

a = 3.7645 Å, b = 7.2571 Å, c = 7.2571 Å
α = 29.21°, β = 90.00°, γ = 90.00°
Sites, in units of the cell vectors:
Tb1 0.0000 0.0000 0.0000
Te1 0.0000 0.6835 0.6835
Se1 0.5000 0.4217 0.4217

***

Among the records above, which one has the lowest raw total energy?
Dy4Y2Se9